[1]
## LaHo3 (GGA-PBE)

Data for a relaxed structure of LaHo3.

ΔE_f (eV/f.u.): 0.114
Uncorrected energy (eV for the cell shown): -37.09

Structure (CIF):
```
data_LaHo3
_cell_length_a 3.668
_cell_length_b 11.459
_cell_length_c 6.256
_cell_angle_alpha 90.00
_cell_angle_beta 90.00
_cell_angle_gamma 90.00
_symmetry_space_group_name_H-M 'I m m 2'
_symmetry_Int_Tables_number 44
loop_
_symmetry_equiv_pos_as_xyz
'x,y,z'
'-x,-y,z'
'-x,y,z'
'x,-y,z'
'x+1/2,y+1/2,z+1/2'
'-x+1/2,-y+1/2,z+1/2'
'-x+1/2,y+1/2,z+1/2'
'x+1/2,-y+1/2,z+1/2'
loop_
_atom_site_label
_atom_site_type_symbol
_atom_site_fract_x
_atom_site_fract_y
_atom_site_fract_z
La1 La 0.000 0.000 0.000
Ho1 Ho 0.000 0.246 0.343
Ho2 Ho 0.000 0.500 0.007
```



[2]
## PrYHo6Tm2 (GGA-PBE)

Data for a relaxed structure of PrYHo6Tm2.

ΔE_f (eV/f.u.): 1.203
Uncorrected energy (eV for the cell shown): -185.80

Structure (CIF):
```
data_PrYHo6Tm2
_cell_length_a 9.088
_cell_length_b 14.980
_cell_length_c 9.452
_cell_angle_alpha 90.00
_cell_angle_beta 96.17
_cell_angle_gamma 90.00
_symmetry_space_group_name_H-M 'C 1 2/c 1'
_symmetry_Int_Tables_number 15
loop_
_symmetry_equiv_pos_as_xyz
'x,y,z'
'-x,-y,-z'
'-x,y,-z+1/2'
'x,-y,z+1/2'
'x+1/2,y+1/2,z'
'-x+1/2,-y+1/2,-z'
'-x+1/2,y+1/2,-z+1/2'
'x+1/2,-y+1/2,z+1/2'
loop_
_atom_site_label
_atom_site_type_symbol
_atom_site_fract_x
_atom_site_fract_y
_atom_site_fract_z
Pr1 Pr 0.000 0.029 0.250
Y1 Y 0.000 0.410 0.750
Ho1 Ho 0.063 0.184 0.943
Ho2 Ho 0.098 0.389 0.117
Ho3 Ho 0.210 0.228 0.319
Tm1 Tm 0.247 0.447 0.452
```



- What is the ΔE_f in the first record?
  0.114 eV/f.u.